Record 1
V3CoS8, optimized geometry, DFT GGA-PBE; final energy = -151.025 eV for the cell shown; size of the total moment = 0.00 μB/f.u.; V = 205 Å³/f.u.; mass density = 3.80 Mg/m³; raw formation energy = -0.67 eV/atom
1.0
-5.952 -2.512 -0.634
4.642 -1.531 -4.273
3.003 -8.728 6.389
S V Co
16 6 2
direct
0.515 0.485 0.848
0.515 0.029 0.848
0.485 0.515 0.348
0.000 0.000 0.837
0.826 0.174 0.097
0.347 0.174 0.097
0.174 0.347 0.597
0.174 0.826 0.597
0.653 0.826 0.597
0.000 0.000 0.337
0.667 0.333 0.582
0.333 0.667 0.082
0.826 0.653 0.097
0.485 0.971 0.348
0.971 0.485 0.848
0.029 0.515 0.348
0.164 0.836 0.208
0.164 0.329 0.208
0.671 0.836 0.208
0.836 0.164 0.708
0.836 0.671 0.708
0.329 0.164 0.708
0.333 0.667 0.479
0.667 0.333 0.979

---

Record 2
DyHo2In2Ag2, optimized geometry, DFT GGA-PBE; final energy = -26.835 eV for the cell shown; calculated formation energy = -6.25 kcal/mol of atoms; size of the total moment = 0.00 μB/f.u.; V = 179 Å³/f.u.; mass density = 8.69 Mg/m³
1.0
4.836 0.000 0.000
2.418 4.188 0.000
2.418 1.396 8.849
Ho Ag In Dy
2 2 2 1
direct
0.126 0.126 0.621
0.874 0.874 0.379
0.603 0.603 0.192
0.397 0.397 0.808
0.260 0.260 0.221
0.740 0.740 0.779
0.000 0.000 0.000

---

Record 3
Na3Np3MoN8, optimized geometry, DFT GGA-PBE; final energy = -130.357 eV for the cell shown; size of the total moment = 6.03 μB/f.u.; V = 222 Å³/f.u.; mass density = 7.39 Mg/m³; raw formation energy = -0.68 eV/atom
1.0
6.700 0.000 0.000
-3.350 5.802 -0.022
0.000 -3.849 5.723
N Na Np Mo
8 3 3 1
direct
0.781 0.041 0.322
0.730 0.460 0.691
0.219 0.959 0.678
0.740 0.959 0.678
0.270 0.540 0.309
0.260 0.041 0.322
0.781 0.562 0.322
0.219 0.438 0.678
0.000 0.000 0.000
0.000 0.500 0.000
0.500 0.500 0.000
0.500 0.000 0.500
0.500 0.500 0.500
0.000 0.500 0.500
0.000 0.000 0.500

---

Record 4
CaZnAu3, optimized geometry, DFT GGA-PBE; final energy = -14.416 eV for the cell shown; calculated formation energy = -6.03 kcal/mol of atoms; size of the total moment = 0.00 μB/f.u.; V = 118 Å³/f.u.; mass density = 9.83 Mg/m³
1.0
-2.296 -2.524 3.517
4.285 -1.888 1.442
0.612 3.751 3.092
Au Zn Ca
3 1 1
direct
0.500 0.000 0.000
0.000 0.500 0.000
0.000 0.000 0.500
0.000 0.000 0.000
0.500 0.500 0.500

---

Record 5
CsBS2, optimized geometry, DFT GGA-PBE; final energy = -72.105 eV for the cell shown; size of the total moment = 0.00 μB/f.u.; V = 122 Å³/f.u.; mass density = 2.83 Mg/m³; raw formation energy = -0.56 eV/atom
1.0
-2.733 -5.355 -5.694
3.133 -0.965 -0.596
-1.473 -12.473 12.439
S Cs B
8 4 4
direct
0.680 0.750 0.932
0.180 0.750 0.568
0.577 0.750 0.323
0.820 0.250 0.432
0.077 0.750 0.177
0.320 0.250 0.068
0.923 0.250 0.823
0.423 0.250 0.677
0.156 0.750 0.378
0.344 0.250 0.878
0.844 0.250 0.622
0.656 0.750 0.122
0.330 0.750 0.636
0.830 0.750 0.864
0.670 0.250 0.364
0.170 0.250 0.136

---

Record 6
LaScZnGa, optimized geometry, DFT GGA-PBE; final energy = -17.289 eV for the cell shown; calculated formation energy = -9.97 kcal/mol of atoms; size of the total moment = 0.00 μB/f.u.; V = 92 Å³/f.u.; mass density = 5.75 Mg/m³
1.0
5.069 0.000 0.000
2.535 4.390 0.000
2.535 1.463 4.139
Sc Ga Zn La
1 1 1 1
direct
0.500 0.500 0.500
0.250 0.250 0.250
0.750 0.750 0.750
0.000 0.000 0.000